#P
Ca2LaSi2: optimized geometry, PBE-GGA.

a b c (Å): 5.3060 5.3060 10.4470
angles (deg): 90.00 90.00 90.00
With the nearest neighbours (Å) after each atom.
Space group I4/mmm (No. 139)
Inequivalent atoms, fractional coordinates:
Ca  0.0000  0.0000  0.1579  4 Si 2.82
La  0.0000  0.0000  0.5000  2 Ca 3.57, 8 Si 3.72
Si  0.0000  0.5000  0.2500  4 Ca 2.82

The calculation puts the total moment at 1.46 μB per cell. The density of states at the Fermi level is 0.7004 states/eV/atom.

#Q
Ca2LaSi2: optimized geometry, PBE-GGA.

a b c (Å): 8.7150 8.7150 3.5269
angles (deg): 90.00 90.00 90.00
With the nearest neighbours (Å) after each atom.
Space group P4/mbm (No. 127)
Inequivalent atoms, fractional coordinates:
Ca  0.1309  0.3691  0.0000  6 Si 3.00-3.19, 1 Ca 3.23
La  0.0000  0.0000  0.5000  4 Si 3.23, 2 La 3.53
Si  0.1718  0.6718  0.5000  6 Ca 3.00-3.19, 2 La 3.23

The calculation puts the total moment at 0.28 μB per cell. The density of states at the Fermi level is 0.3409 states/eV/atom.

Which of them is least stable? Easy: #P.

#P
CaLaSi4: optimized geometry, PBE-GGA.

a b c (Å): 7.7274 7.7274 7.7274
angles (deg): 90.00 90.00 90.00
With the nearest neighbours (Å) after each atom.
Space group F-43m (No. 216)
Inequivalent atoms, fractional coordinates:
Ca  0.0000  0.0000  0.0000  12 Si 3.19, 4 La 3.35
La  0.2500  0.2500  0.7500  12 Si 3.22, 4 Ca 3.35
Si  0.1300  0.1300  0.3700  6 Si 2.62-2.84

The calculation puts the total moment at 0.00 μB per cell. The density of states at the Fermi level is 0.8854 states/eV/atom.

#Q
CaLaSi4: optimized geometry, PBE-GGA.

a b c (Å): 8.3369 14.4426 4.3589
angles (deg): 90.00 90.00 90.00
With the nearest neighbours (Å) after each atom.
Space group Pbam (No. 55)
Inequivalent atoms, fractional coordinates:
Ca  0.1400  0.0870  0.0000  10 Si 2.93-3.07
La  0.1240  0.3609  0.0000  12 Si 3.23-3.61
Si  0.0271  0.2053  0.5000  3 Si 2.30-2.42
Si  0.1143  0.9410  0.5000  3 Si 2.42-2.56
Si  0.1261  0.5336  0.5000  3 Si 2.32-2.54
Si  0.1876  0.6942  0.5000  3 Si 2.30-2.38

The calculation puts the total moment at 0.00 μB per cell. The density of states at the Fermi level is 0.4048 states/eV/atom.

Which of them is least stable? Easy: #P.

#P
CaLaSi3: optimized geometry, PBE-GGA.

a b c (Å): 5.1173 5.1173 5.1173
angles (deg): 90.00 90.00 90.00
With the nearest neighbours (Å) after each atom.
Space group Pm-3m (No. 221)
Inequivalent atoms, fractional coordinates:
Ca  0.0000  0.0000  0.0000  6 Si 2.56
La  0.5000  0.5000  0.5000  12 Si 3.62
Si  0.0000  0.0000  0.5000  2 Ca 2.56

The calculation puts the total moment at 0.00 μB per cell. The density of states at the Fermi level is 1.3138 states/eV/atom.

#Q
CaLaSi3: optimized geometry, PBE-GGA.

a b c (Å): 4.4924 25.0070 3.9841
angles (deg): 90.00 90.00 90.00
With the nearest neighbours (Å) after each atom.
Space group Cmcm (No. 63)
Inequivalent atoms, fractional coordinates:
Ca  0.0000  0.2026  0.2500  7 Si 3.06-3.09
La  0.0000  0.0708  0.7500  12 Si 3.22-3.42
Si  0.0000  0.3262  0.2500  2 Si 2.41
Si  0.0000  0.3807  0.7500  3 Si 2.38-2.41
Si  0.0000  0.4759  0.7500  3 Si 2.33-2.38

The calculation puts the total moment at 0.00 μB per cell. The density of states at the Fermi level is 0.6056 states/eV/atom.

Which of them is least stable? Easy: #P.